[1]
DFT (PBE-GGA) results for crystalline Cd2SbTe at its relaxed geometry.

## Properties
calculated density: 6.11 g/cm³
ΔE_f (raw): -111 meV/atom

a = 6.7608 Å, b = 9.4930 Å, c = 8.0361 Å
α = 90.00°, β = 90.00°, γ = 90.00°
Space group Pna2_1 (No. 33)
One atom of each set of equivalent atoms:
Cd 0.0349 0.0704 0.0000 (multiplicity 4)
Cd 0.1230 0.5787 0.9649 (multiplicity 4)
Sb 0.0450 0.1960 0.6699 (multiplicity 4)
Te 0.0817 0.6446 0.6259 (multiplicity 4)

[2]
DFT (PBE-GGA) results for crystalline Cd4Sb2Te at its relaxed geometry.

## Properties
calculated density: 5.85 g/cm³
ΔE_f (raw): -67 meV/atom

a = 12.3033 Å, b = 12.2988 Å, c = 8.6836 Å
α = 90.00°, β = 134.82°, γ = 90.00°
Space group C2/c (No. 15)
One atom of each set of equivalent atoms:
Cd 0.0007 0.2386 0.0246 (multiplicity 8)
Cd 0.2267 0.0117 0.4762 (multiplicity 8)
Sb 0.0000 0.0000 0.0000 (multiplicity 4)
Sb 0.2500 0.2500 0.5000 (multiplicity 4)
Te 0.0000 0.3754 0.7500 (multiplicity 4)

[3]
DFT (PBE-GGA) results for crystalline Cd2SbTe at its relaxed geometry.

## Properties
calculated density: 6.63 g/cm³
ΔE_f (raw): -26 meV/atom

a = 8.7248 Å, b = 4.3019 Å, c = 6.7359 Å
α = 90.00°, β = 110.12°, γ = 90.00°
Space group Cm (No. 8)
One atom of each set of equivalent atoms:
Cd 0.0000 0.0000 0.0000 (multiplicity 2)
Cd 0.1929 0.0000 0.7363 (multiplicity 2)
Sb 0.4496 0.0000 0.5819 (multiplicity 2)
Te 0.2600 0.5000 0.2026 (multiplicity 2)

[4]
DFT (PBE-GGA) results for crystalline Cd2SbTe at its relaxed geometry.

## Properties
calculated density: 7.35 g/cm³
ΔE_f (raw): 143 meV/atom

a = 3.9506 Å, b = 5.1891 Å, c = 10.4551 Å
α = 90.00°, β = 90.00°, γ = 90.00°
Space group Cmmm (No. 65)
One atom of each set of equivalent atoms:
Cd 0.0000 0.0000 0.2424 (multiplicity 4)
Sb 0.0000 0.5000 0.0000 (multiplicity 2)
Te 0.0000 0.5000 0.5000 (multiplicity 2)

[5]
DFT (PBE-GGA) results for crystalline CdSb2Te at its relaxed geometry.

## Properties
calculated density: 7.43 g/cm³
ΔE_f (raw): 248 meV/atom

a = 7.5599 Å, b = 7.5599 Å, c = 7.5599 Å
α = 90.00°, β = 90.00°, γ = 90.00°
Space group Fm-3m (No. 225)
One atom of each set of equivalent atoms:
Cd 0.0000 0.0000 0.0000 (multiplicity 4)
Sb 0.2500 0.2500 0.2500 (multiplicity 8)
Te 0.0000 0.0000 0.5000 (multiplicity 4)

[6]
DFT (PBE-GGA) results for crystalline Cd2SbTe at its relaxed geometry.

## Properties
calculated density: 7.14 g/cm³
ΔE_f (raw): 144 meV/atom

a = 3.4585 Å, b = 3.4585 Å, c = 31.9591 Å
α = 90.00°, β = 90.00°, γ = 120.00°
Space group R3m (No. 160, hexagonal axes)
One atom of each set of equivalent atoms:
Cd 0.0000 0.0000 0.0000 (multiplicity 3)
Cd 0.0000 0.0000 0.2627 (multiplicity 3)
Sb 0.0000 0.0000 0.7403 (multiplicity 3)
Te 0.0000 0.0000 0.5203 (multiplicity 3)

[7]
DFT (PBE-GGA) results for crystalline CdSb2Te at its relaxed geometry.

## Properties
calculated density: 6.46 g/cm³
ΔE_f (raw): 70 meV/atom

a = 13.6974 Å, b = 4.0021 Å, c = 4.5319 Å
α = 90.00°, β = 90.10°, γ = 90.00°
Space group Cm (No. 8)
One atom of each set of equivalent atoms:
Cd 0.0000 0.0000 0.0000 (multiplicity 2)
Sb 0.2843 0.5000 0.4937 (multiplicity 2)
Sb 0.4518 0.0000 0.5000 (multiplicity 2)
Te 0.2116 0.0000 0.9960 (multiplicity 2)

[8]
DFT (PBE-GGA) results for crystalline Cd2SbTe at its relaxed geometry.

## Properties
calculated density: 7.40 g/cm³
ΔE_f (raw): 157 meV/atom

a = 4.9419 Å, b = 4.9419 Å, c = 8.7174 Å
α = 90.00°, β = 90.00°, γ = 90.00°
Space group I4/mmm (No. 139)
One atom of each set of equivalent atoms:
Cd 0.0000 0.5000 0.2500 (multiplicity 4)
Sb 0.0000 0.0000 0.0000 (multiplicity 2)
Te 0.0000 0.0000 0.5000 (multiplicity 2)

[9]
DFT (PBE-GGA) results for crystalline CdSb2Te at its relaxed geometry.

## Properties
calculated density: 7.18 g/cm³
ΔE_f (raw): 261 meV/atom

a = 3.3263 Å, b = 3.3263 Å, c = 35.0283 Å
α = 90.00°, β = 90.00°, γ = 120.00°
Space group R-3m (No. 166, hexagonal axes)
One atom of each set of equivalent atoms:
Cd 0.0000 0.0000 0.0000 (multiplicity 3)
Sb 0.0000 0.0000 0.2621 (multiplicity 6)
Te 0.0000 0.0000 0.5000 (multiplicity 3)

[10]
DFT (PBE-GGA) results for crystalline Cd12Sb3Te5 at its relaxed geometry.

## Properties
calculated density: 5.97 g/cm³
ΔE_f (raw): -91 meV/atom

a = 17.3617 Å, b = 17.3617 Å, c = 17.3617 Å
α = 90.00°, β = 90.00°, γ = 90.00°
Space group Ia-3d (No. 230)
One atom of each set of equivalent atoms:
Cd 0.0076 0.0749 0.6576 (multiplicity 96)
Sb 0.0000 0.2500 0.1250 (multiplicity 24)
Te 0.0000 0.0000 0.0000 (multiplicity 16)
Te 0.0000 0.2500 0.3750 (multiplicity 24)

[11]
DFT (PBE-GGA) results for crystalline Cd3SbTe at its relaxed geometry.

## Properties
calculated density: 5.47 g/cm³
ΔE_f (raw): -98 meV/atom

a = 4.7795 Å, b = 8.4809 Å, c = 9.6175 Å
α = 113.05°, β = 95.34°, γ = 92.47°
Space group P-1 (No. 2)
One atom of each set of equivalent atoms:
Cd 0.1374 0.3702 0.0180 (multiplicity 2)
Cd 0.2073 0.9950 0.3485 (multiplicity 2)
Cd 0.2659 0.5252 0.6176 (multiplicity 2)
Sb 0.2029 0.2814 0.2712 (multiplicity 2)
Te 0.3191 0.2158 0.7003 (multiplicity 2)

[12]
DFT (PBE-GGA) results for crystalline CdSb2Te at its relaxed geometry.

## Properties
calculated density: 7.50 g/cm³
ΔE_f (raw): 220 meV/atom

a = 3.7461 Å, b = 3.7461 Å, c = 7.6283 Å
α = 90.00°, β = 90.00°, γ = 90.00°
Space group P4/mmm (No. 123)
One atom of each set of equivalent atoms:
Cd 0.0000 0.0000 0.0000 (multiplicity 1)
Sb 0.5000 0.5000 0.2413 (multiplicity 2)
Te 0.0000 0.0000 0.5000 (multiplicity 1)

[13]
DFT (PBE-GGA) results for crystalline CdSb4Te at its relaxed geometry.

## Properties
calculated density: 6.89 g/cm³
ΔE_f (raw): 317 meV/atom

a = 8.8841 Å, b = 8.8841 Å, c = 8.8841 Å
α = 90.00°, β = 90.00°, γ = 90.00°
Space group F-43m (No. 216)
One atom of each set of equivalent atoms:
Cd 0.0000 0.0000 0.0000 (multiplicity 4)
Sb 0.1240 0.1240 0.6240 (multiplicity 16)
Te 0.2500 0.2500 0.2500 (multiplicity 4)

[14]
DFT (PBE-GGA) results for crystalline Cd2SbTe at its relaxed geometry.

## Properties
calculated density: 7.38 g/cm³
ΔE_f (raw): 125 meV/atom

a = 3.9522 Å, b = 5.0370 Å, c = 5.3625 Å
α = 90.00°, β = 90.00°, γ = 90.00°
Space group Pmmm (No. 47)
One atom of each set of equivalent atoms:
Cd 0.0000 0.0000 0.0000 (multiplicity 1)
Cd 0.5000 0.0000 0.5000 (multiplicity 1)
Sb 0.0000 0.5000 0.5000 (multiplicity 1)
Te 0.5000 0.5000 0.0000 (multiplicity 1)

[15]
DFT (PBE-GGA) results for crystalline CdSb2Te at its relaxed geometry.

## Properties
calculated density: 6.83 g/cm³
ΔE_f (raw): 2 meV/atom

a = 3.1634 Å, b = 6.1762 Å, c = 6.1963 Å
α = 90.00°, β = 103.67°, γ = 90.00°
Space group Pm (No. 6)
One atom of each set of equivalent atoms:
Cd 0.0000 0.0000 0.0000 (multiplicity 1)
Sb 0.2498 0.5000 0.5306 (multiplicity 1)
Sb 0.2649 0.0000 0.5355 (multiplicity 1)
Te 0.0149 0.5000 0.0410 (multiplicity 1)

[16]
DFT (PBE-GGA) results for crystalline CdSbTe at its relaxed geometry.

## Properties
calculated density: 6.25 g/cm³
ΔE_f (raw): 42 meV/atom

a = 4.1119 Å, b = 4.9421 Å, c = 10.6952 Å
α = 102.29°, β = 90.05°, γ = 114.43°
Space group P-1 (No. 2)
One atom of each set of equivalent atoms:
Cd 0.1204 0.2422 0.4304 (multiplicity 2)
Sb 0.3679 0.7362 0.3022 (multiplicity 2)
Te 0.2665 0.5330 0.8888 (multiplicity 2)

[17]
DFT (PBE-GGA) results for crystalline CdSb2Te at its relaxed geometry.

## Properties
calculated density: 5.16 g/cm³
ΔE_f (raw): 217 meV/atom

a = 6.4849 Å, b = 6.4849 Å, c = 14.8009 Å
α = 90.00°, β = 90.00°, γ = 90.00°
Space group I-42d (No. 122)
One atom of each set of equivalent atoms:
Cd 0.0000 0.0000 0.0000 (multiplicity 4)
Sb 0.2313 0.2500 0.1250 (multiplicity 8)
Te 0.0000 0.0000 0.5000 (multiplicity 4)

[18]
DFT (PBE-GGA) results for crystalline CdSbTe at its relaxed geometry.

## Properties
calculated density: 6.45 g/cm³
ΔE_f (raw): 196 meV/atom

a = 7.1943 Å, b = 7.1943 Å, c = 7.1943 Å
α = 90.00°, β = 90.00°, γ = 90.00°
Space group F-43m (No. 216)
One atom of each set of equivalent atoms:
Cd 0.0000 0.0000 0.0000 (multiplicity 4)
Sb 0.2500 0.2500 0.2500 (multiplicity 4)
Te 0.2500 0.2500 0.7500 (multiplicity 4)

[19]
DFT (PBE-GGA) results for crystalline Cd2SbTe at its relaxed geometry.

## Properties
calculated density: 6.92 g/cm³
ΔE_f (raw): -16 meV/atom

a = 6.3336 Å, b = 8.5250 Å, c = 4.6955 Å
α = 90.00°, β = 116.23°, γ = 90.00°
Space group C2/m (No. 12)
One atom of each set of equivalent atoms:
Cd 0.2500 0.2500 0.0000 (multiplicity 4)
Sb 0.0000 0.0000 0.5000 (multiplicity 2)
Te 0.0000 0.5000 0.5000 (multiplicity 2)

[20]
DFT (PBE-GGA) results for crystalline CdSbTe at its relaxed geometry.

## Properties
calculated density: 7.20 g/cm³
ΔE_f (raw): 148 meV/atom

a = 3.7773 Å, b = 3.7773 Å, c = 11.7027 Å
α = 90.00°, β = 90.00°, γ = 90.00°
Space group I4mm (No. 107)
One atom of each set of equivalent atoms:
Cd 0.0000 0.0000 0.0000 (multiplicity 2)
Sb 0.0000 0.0000 0.6716 (multiplicity 2)
Te 0.0000 0.0000 0.3160 (multiplicity 2)